## PrEr2Co (PBE)

Data for a relaxed structure of PrEr2Co.

Cell lengths 3.7918, 3.7918, 26.9488 Å; angles 90.00, 90.00, 120.00 degrees
Space group R3m (No. 160, hexagonal axes)
Symmetry-distinct sites (fractional):
Pr: 0.0000 0.0000 0.0000 (multiplicity 3)
Er: 0.0000 0.0000 0.5522 (multiplicity 3)
Er: 0.0000 0.0000 0.7769 (multiplicity 3)
Co: 0.0000 0.0000 0.1646 (multiplicity 3)

Calculated values
Crystal system: trigonal
E above lowest polymorph, meV per atom: 76
Spin magnetization, μB per cell: 0.00

=====

## Sr2ZrCdSe (PBE)

Data for a relaxed structure of Sr2ZrCdSe.

Cell lengths 6.0936, 6.0936, 5.3252 Å; angles 90.00, 90.00, 90.00 degrees
Space group P4/mmm (No. 123)
Symmetry-distinct sites (fractional):
Sr: 0.0000 0.5000 0.0000 (multiplicity 2)
Zr: 0.0000 0.0000 0.5000 (multiplicity 1)
Cd: 0.0000 0.0000 0.0000 (multiplicity 1)
Se: 0.5000 0.5000 0.5000 (multiplicity 1)

Calculated values
Crystal system: tetragonal
Spin magnetization, μB per cell: 1.19
Raw formation energy, eV per atom: 0.24

=====

Number 1: uncorrected energy -5.294 eV/atom. Number 2: uncorrected energy -3.025 eV/atom.